A plane-wave DFT calculation with PBE with a Hubbard U was carried out for a relaxed NaPr2Co2O6 crystal.

VASP energy in eV/atom: -6.34

Cell lengths 5.8207, 5.8207, 17.5225 Å; angles 90.00, 90.00, 120.00 degrees
Space group R-3m (No. 166, hexagonal axes)
Asymmetric unit:
Na 0.0000 0.0000 0.0000 [3 per cell]
Pr 0.0000 0.0000 0.1973 [6 per cell]
Co 0.0000 0.0000 0.4202 [6 per cell]
O 0.0196 0.5098 0.7662 [18 per cell]